This record from the Alexandria database describes a geometry-optimized CsYCu2Cl6 structure. The functional is PBE-GGA.

Cell: 8.6024 8.6024 8.5906 Å, 100.05 100.05 107.56°
Positions (direct):
1 Cs 0.1443 0.8557 0.2500
2 Cs 0.8557 0.1443 0.7500
3 Y 0.5534 0.4466 0.2500
4 Y 0.4466 0.5534 0.7500
5 Cu 0.3617 0.0709 0.7240
6 Cu 0.9291 0.6383 0.7760
7 Cu 0.6383 0.9291 0.2760
8 Cu 0.0709 0.3617 0.2240
9 Cl 0.8900 0.4703 0.2835
10 Cl 0.5297 0.1100 0.2165
11 Cl 0.1100 0.5297 0.7165
12 Cl 0.4703 0.8900 0.7835
13 Cl 0.2112 0.2312 0.1050
14 Cl 0.7688 0.7888 0.3950
15 Cl 0.7888 0.7688 0.8950
16 Cl 0.2312 0.2112 0.6050
17 Cl 0.3568 0.5742 0.4313
18 Cl 0.4258 0.6432 0.0687
19 Cl 0.6432 0.4258 0.5687
20 Cl 0.5742 0.3568 0.9313

Values from the calculation:
Volume   579 Å³ per cell
E   -4.10 eV/atom
Formation energy (no corrections)   -1444 meV/atom